# 1
The following is a DFT calculation (PBE) of an optimized crystal structure of BaMgRu2.

Cell lengths 3.321, 4.596, 5.271 Å; angles 90.00, 90.00, 90.00 degrees
Positions (direct):
Ba 0.000 0.000 0.000
Mg 0.500 0.000 0.500
Ru 0.000 0.500 0.500
Ru 0.500 0.500 0.000

Results
Its volume is 20.1 A^3/atom. Its total magnetization is 0.04 μB per formula unit. The total energy is -4.628 eV per atom. The calculated formation energy is 0.89 eV per atom.

# 2
The following is a DFT calculation (PBE) of an optimized crystal structure of BaMg2Ru.

Cell lengths 9.413, 9.413, 9.413 Å; angles 22.22, 22.22, 22.22 degrees
Positions (direct):
Ba 0.000 0.000 0.000
Mg 0.224 0.224 0.224
Mg 0.776 0.776 0.776
Ru 0.500 0.500 0.500

Results
Its volume is 26.1 A^3/atom. Its total magnetization is 0.00 μB per formula unit. The total energy is -3.153 eV per atom. The calculated formation energy is 0.44 eV per atom.

Which of these has the lowest calculated formation energy? BaMg2Ru

Repeat the first record exactly.
The following is a DFT calculation (PBE) of an optimized crystal structure of BaMgRu2.

Cell lengths 3.321, 4.596, 5.271 Å; angles 90.00, 90.00, 90.00 degrees
Positions (direct):
Ba 0.000 0.000 0.000
Mg 0.500 0.000 0.500
Ru 0.000 0.500 0.500
Ru 0.500 0.500 0.000

Results
Its volume is 20.1 A^3/atom. Its total magnetization is 0.04 μB per formula unit. The total energy is -4.628 eV per atom. The calculated formation energy is 0.89 eV per atom.